Entry 1:
An optimized crystal structure of Rb2HfBrCl6, computed with PBE.

* uncorrected energy: -4.1540 eV/atom
* crystal system: triclinic
* raw formation energy: -1690 meV/atom
* excess energy over the best structure of this formula in the dataset: 0.0 meV per atom

Unit cell a=7.2550 b=7.9702 c=8.1375 alpha=65.69 beta=66.09 gamma=62.95
Last column: nearest neighbours and their distance in Å.
Atoms (fractional coordinates):
Rb 0.0000 0.0000 0.0000  6 Cl 3.42-3.54, 1 Br 3.48
Rb 0.4869 0.5562 0.4852  6 Cl 3.41-3.58, 1 Br 3.53
Hf 0.7511 0.7823 0.7435  6 Cl 2.43-2.52
Br 0.5053 0.2579 0.2527  2 Cl 2.94-3.02
Cl 0.0528 0.5969 0.8812  1 Hf 2.43
Cl 0.4293 0.9604 0.6127  1 Hf 2.52
Cl 0.5115 0.8650 0.0377  1 Hf 2.46
Cl 0.6541 0.4837 0.8522  1 Hf 2.50
Cl 0.8351 0.0806 0.6225  1 Hf 2.43
Cl 0.9679 0.6924 0.4489  1 Hf 2.46


Entry 2:
An optimized crystal structure of HfV4Cu, computed with PBE.

* uncorrected energy: -8.2229 eV/atom
* formation energy from the elements: 1.19 eV/f.u.
* crystal system: cubic

Unit cell a=5.0380 b=5.0380 c=5.0380 alpha=60.00 beta=60.00 gamma=60.00
Last column: nearest neighbours and their distance in Å.
Atoms (fractional coordinates):
Hf 0.0000 0.0000 0.0000  12 V 2.95, 4 Cu 3.09
V 0.3726 0.3726 0.3726  6 V 2.47-2.57
V 0.3726 0.3726 0.8823  6 V 2.47-2.57
V 0.3726 0.8823 0.3726  6 V 2.47-2.57
V 0.8823 0.3726 0.3726  6 V 2.47-2.57
Cu 0.7500 0.7500 0.7500  12 V 2.96, 4 Hf 3.09


Entry 3:
An optimized crystal structure of Tb2Zn3Au2, computed with PBE.

* uncorrected energy: -3.3816 eV/atom
* formation energy from the elements: -4.03 eV/f.u.
* crystal system: monoclinic

Unit cell a=5.4541 b=5.4541 c=6.6600 alpha=108.06 beta=108.06 gamma=49.21
Last column: nearest neighbours and their distance in Å.
Atoms (fractional coordinates):
Tb 0.1464 0.1464 0.2679  4 Au 3.00-3.04, 8 Zn 3.16-3.34
Tb 0.8536 0.8536 0.7321  4 Au 3.00-3.04, 8 Zn 3.16-3.34
Zn 0.4004 0.4004 0.0793  2 Zn 2.54-2.63, 3 Au 2.74-2.75
Zn 0.5000 0.5000 0.5000  2 Zn 2.63, 4 Au 2.87
Zn 0.5996 0.5996 0.9207  2 Zn 2.54-2.63, 3 Au 2.74-2.75
Au 0.1553 0.1553 0.7288  5 Zn 2.74-2.87, 4 Tb 3.00-3.04
Au 0.8447 0.8447 0.2712  5 Zn 2.74-2.87, 4 Tb 3.00-3.04


Entry 4:
An optimized crystal structure of LiMn2HgN, computed with PBE.

* uncorrected energy: -5.9925 eV/atom
* crystal system: tetragonal
* raw formation energy: -216 meV/atom

Unit cell a=3.7955 b=3.7955 c=4.3191 alpha=90.00 beta=90.00 gamma=90.00
Last column: nearest neighbours and their distance in Å.
Atoms (fractional coordinates):
Li 0.0000 0.0000 0.0000  2 N 2.16
Mn 0.0000 0.5000 0.5000  2 N 1.90
Mn 0.5000 0.0000 0.5000  2 N 1.90
Hg 0.5000 0.5000 0.0000  4 Li 2.68, 8 Mn 2.87
N 0.0000 0.0000 0.5000  4 Mn 1.90